1 | The following is a DFT calculation (PBE) of a geometry-optimized Ac4AgRh2 structure.

Lattice parameters (Å, degrees): 8.248 8.248 8.250 108.54 108.57 111.29
Element x y z (fractional)
1 Ac 0.861 0.235 0.254
2 Ac 0.269 0.515 0.126
3 Ac 0.981 0.607 0.746
4 Ac 0.765 0.019 0.626
5 Ac 0.393 0.139 0.374
6 Ac 0.389 0.143 0.874
7 Ac 0.485 0.611 0.754
8 Ac 0.857 0.731 0.246
9 Ag 0.250 0.750 0.500
10 Ag 0.000 0.000 0.000
11 Rh 0.757 0.375 0.882
12 Rh 0.493 0.875 0.118
13 Rh 0.625 0.507 0.382
14 Rh 0.125 0.244 0.618

Properties
D(E_F)   10.2 states/eV/cell

---

2 | The following is a DFT calculation (PBE) of a geometry-optimized Ac4AgRh2 structure.

Lattice parameters (Å, degrees): 4.350 7.505 14.810 90.00 90.00 106.85
Element x y z (fractional)
1 Ac 0.769 0.538 0.112
2 Ac 0.769 0.538 0.388
3 Ac 0.231 0.462 0.888
4 Ac 0.231 0.462 0.612
5 Ac 0.941 0.882 0.750
6 Ac 0.059 0.118 0.250
7 Ac 0.500 0.000 0.000
8 Ac 0.500 0.000 0.500
9 Ag 0.614 0.227 0.750
10 Ag 0.386 0.773 0.250
11 Rh 0.132 0.264 0.436
12 Rh 0.868 0.736 0.936
13 Rh 0.132 0.264 0.064
14 Rh 0.868 0.736 0.564

Properties
D(E_F)   9.1 states/eV/cell

---

Stability, lowest: 1

---

1 | The following is a DFT calculation (PBE) of a geometry-optimized SrAcAgRh structure.

Lattice parameters (Å, degrees): 5.354 5.354 5.354 60.00 60.00 60.00
Element x y z (fractional)
1 Sr 0.500 0.500 0.500
2 Ac 0.000 0.000 0.000
3 Rh 0.250 0.250 0.250
4 Ag 0.750 0.750 0.750

Properties
D(E_F)   1.6 states/eV/cell

---

2 | The following is a DFT calculation (PBE) of a geometry-optimized SrAcAgRh structure.

Lattice parameters (Å, degrees): 4.251 4.390 6.478 90.00 109.15 90.00
Element x y z (fractional)
1 Sr 0.146 0.000 0.293
2 Ac 0.867 0.500 0.734
3 Ag 0.573 0.500 0.146
4 Rh 0.414 0.000 0.827

Properties
D(E_F)   2.3 states/eV/cell

---

Stability, lowest: 1

---

1 | The following is a DFT calculation (PBE) of a geometry-optimized Ac3Ag2Ru structure.

Lattice parameters (Å, degrees): 5.507 8.309 8.614 90.00 71.20 90.00
Element x y z (fractional)
1 Ac 0.500 0.250 0.000
2 Ac 0.500 0.750 0.000
3 Ac 0.136 0.000 0.729
4 Ac 0.864 0.500 0.271
5 Ac 0.136 0.500 0.729
6 Ac 0.864 0.000 0.271
7 Ag 0.705 0.750 0.591
8 Ag 0.705 0.250 0.591
9 Ag 0.295 0.750 0.409
10 Ag 0.295 0.250 0.409
11 Ru 0.999 0.750 0.000
12 Ru 0.001 0.250 0.000

Properties
D(E_F)   8.9 states/eV/cell

---

2 | The following is a DFT calculation (PBE) of a geometry-optimized Ac3Ag2Ru structure.

Lattice parameters (Å, degrees): 6.315 8.539 8.152 105.21 112.79 90.00
Element x y z (fractional)
1 Ac 0.500 0.250 0.000
2 Ac 0.500 0.750 0.000
3 Ac 0.137 0.069 0.276
4 Ac 0.861 0.431 0.724
5 Ac 0.139 0.569 0.276
6 Ac 0.863 0.931 0.724
7 Ag 0.682 0.591 0.362
8 Ag 0.680 0.091 0.362
9 Ag 0.320 0.909 0.638
10 Ag 0.318 0.409 0.638
11 Ru 0.999 0.750 0.000
12 Ru 0.001 0.250 0.000

Properties
D(E_F)   8.0 states/eV/cell

---

Stability, lowest: 2

---

1 | The following is a DFT calculation (PBE) of a geometry-optimized Ac7Ag2Ru2 structure.

Lattice parameters (Å, degrees): 4.185 10.169 10.169 61.71 78.13 78.13
Element x y z (fractional)
1 Ac 0.816 0.089 0.278
2 Ac 0.850 0.404 0.896
3 Ac 0.500 0.020 0.980
4 Ac 0.624 0.477 0.274
5 Ac 0.376 0.726 0.523
6 Ac 0.184 0.722 0.911
7 Ac 0.150 0.104 0.596
8 Ag 0.000 0.763 0.237
9 Ag 0.500 0.343 0.657
10 Ru 0.748 0.854 0.649
11 Ru 0.252 0.351 0.146

Properties
D(E_F)   9.6 states/eV/cell

---

2 | The following is a DFT calculation (PBE) of a geometry-optimized Ac7Ag2Ru2 structure.

Lattice parameters (Å, degrees): 7.545 7.452 7.452 68.33 89.88 89.88
Element x y z (fractional)
1 Ac 0.254 0.999 0.500
2 Ac 0.746 0.500 0.001
3 Ac 0.746 0.001 0.500
4 Ac 0.254 0.500 0.999
5 Ac 0.000 0.000 0.000
6 Ac 0.752 0.501 0.501
7 Ac 0.248 0.499 0.499
8 Ag 0.500 0.168 0.832
9 Ag 0.500 0.832 0.168
10 Ru 0.000 0.304 0.304
11 Ru 0.000 0.696 0.696

Properties
D(E_F)   9.5 states/eV/cell

---

Stability, lowest: 2